(1)
A PBEsol-optimized structure of AlCuSb2I. Source: the Alexandria database, functional meta-GGA SCAN.

Computed properties:
The density of states at the Fermi level is 0.850 states/eV/atom. As for the formation energy without anion corrections: 894 meV/atom. The final energy is -25.949 eV per atom. The energy above the lowest structure with this stoichiometry comes out at 0.2665 eV/atom. The value obtained for the size of the total moment is 0.00 μB/atom.

Geometry as POSCAR:
```
AlCuSb2I
1.0
-3.208 0.418 -4.089
-4.056 -1.158 3.064
-0.679 5.195 1.064
Al Sb Cu I
1 2 1 1
direct
0.000 0.000 0.000 Al
0.000 0.500 0.000 Sb
0.500 0.000 0.000 Sb
0.500 0.500 0.500 Cu
0.000 0.000 0.500 I
```



(2)
A PBEsol-optimized structure of AlCuSb2I. Source: the Alexandria database, functional meta-GGA SCAN.

Computed properties:
The density of states at the Fermi level is 0.897 states/eV/atom. As for the formation energy without anion corrections: 627 meV/atom. The final energy is -26.216 eV per atom. The energy above the lowest structure with this stoichiometry comes out at 0.0000 eV/atom. The value obtained for the size of the total moment is 0.00 μB/atom.

Geometry as POSCAR:
```
AlCuSb2I
1.0
5.004 0.000 0.000
0.000 5.004 0.000
0.000 0.000 5.371
Cu Al Sb I
1 1 2 1
direct
0.000 0.000 0.000 Cu
0.500 0.500 0.500 Al
0.000 0.500 0.000 Sb
0.500 0.000 0.000 Sb
0.000 0.000 0.500 I
```



(3)
A PBEsol-optimized structure of AlCuSe2I. Source: the Alexandria database, functional meta-GGA SCAN.

Computed properties:
The density of states at the Fermi level is 1.025 states/eV/atom. As for the formation energy without anion corrections: 420 meV/atom. The final energy is -19.550 eV per atom. The value obtained for the size of the total moment is 0.00 μB/atom.

Geometry as POSCAR:
```
AlCuSe2I
1.0
4.706 0.000 0.000
0.000 4.706 0.000
0.000 0.000 5.387
Al Se Cu I
1 2 1 1
direct
0.500 0.500 0.500 Al
0.000 0.500 0.000 Se
0.500 0.000 0.000 Se
0.000 0.000 0.000 Cu
0.000 0.000 0.500 I
```



(4)
A PBEsol-optimized structure of YAlCu2I. Source: the Alexandria database, functional meta-GGA SCAN.

Computed properties:
The density of states at the Fermi level is 0.663 states/eV/atom. As for the formation energy without anion corrections: 870 meV/atom. The final energy is -19.677 eV per atom. The value obtained for the size of the total moment is 0.00 μB/atom.

Geometry as POSCAR:
```
YAlCu2I
1.0
-1.352 -3.836 2.524
4.262 -2.028 -0.800
1.976 2.336 4.609
Cu Y Al I
2 1 1 1
direct
0.500 0.000 0.000 Cu
0.000 0.500 0.000 Cu
0.500 0.500 0.500 Y
0.000 0.000 0.500 Al
0.000 0.000 0.000 I
```



(5)
A PBEsol-optimized structure of Al2InCu. Source: the Alexandria database, functional meta-GGA SCAN.

Computed properties:
The density of states at the Fermi level is 0.340 states/eV/atom. The value obtained for the formation energy is 147 meV/atom. The final energy is -15.876 eV per atom. The value obtained for the size of the total moment is 0.00 μB/atom.

Geometry as POSCAR:
```
Al2InCu
1.0
3.072 0.000 0.000
0.000 4.882 0.007
0.000 -1.826 4.528
Al In Cu
2 1 1
direct
0.000 0.000 0.500 Al
0.000 0.500 0.000 Al
0.500 0.500 0.500 In
0.500 0.000 0.000 Cu
```



(6)
A PBEsol-optimized structure of Al2InCu. Source: the Alexandria database, functional meta-GGA SCAN.

Computed properties:
The density of states at the Fermi level is 0.334 states/eV/atom. The value obtained for the formation energy is 111 meV/atom. The final energy is -15.912 eV per atom. The value obtained for the size of the total moment is 0.00 μB/atom.

Geometry as POSCAR:
```
Al2InCu
1.0
-1.312 -3.820 -0.335
3.596 -1.104 -1.502
0.189 1.675 4.681
Cu Al In
1 2 1
direct
0.500 0.500 0.000 Cu
0.000 0.000 0.000 Al
0.750 0.250 0.500 Al
0.250 0.750 0.500 In
```



(7)
A PBEsol-optimized structure of Al2InCu. Source: the Alexandria database, functional meta-GGA SCAN.

Computed properties:
The density of states at the Fermi level is 0.307 states/eV/atom. The value obtained for the formation energy is 20 meV/atom. The final energy is -16.003 eV per atom. The value obtained for the size of the total moment is 0.00 μB/atom.

Geometry as POSCAR:
```
Al2InCu
1.0
-2.748 0.916 -0.052
-0.915 -2.747 -0.087
-0.211 -0.179 7.923
Cu In Al
1 1 2
direct
0.000 0.000 0.526 Cu
0.500 0.500 0.279 In
0.500 0.500 0.720 Al
0.000 0.000 0.975 Al
```



(8)
A PBEsol-optimized structure of AlInCu2. Source: the Alexandria database, functional meta-GGA SCAN.

Computed properties:
The density of states at the Fermi level is 0.359 states/eV/atom. The value obtained for the formation energy is -31 meV/atom. The final energy is -17.915 eV per atom. The value obtained for the size of the total moment is 0.00 μB/atom.

Geometry as POSCAR:
```
AlInCu2
1.0
-2.918 0.492 0.379
-0.009 -1.854 2.338
1.387 5.100 4.049
In Cu Al
1 2 1
direct
0.500 0.500 0.000 In
0.000 0.000 0.285 Cu
0.000 0.000 0.715 Cu
0.500 0.500 0.500 Al
```